The following is a DFT calculation (PBE) of PmPuH8Rh2 after structural relaxation.

Cell lengths 4.615, 4.615, 6.844 Å; angles 70.30, 70.30, 60.00 degrees
Atoms (fractional coordinates):
Rh1 0.772 0.772 0.683
Rh2 0.228 0.228 0.317
H1 0.865 0.865 0.406
H2 0.545 0.082 0.828
H3 0.918 0.455 0.172
H4 0.455 0.455 0.172
H5 0.455 0.918 0.172
H6 0.082 0.545 0.828
H7 0.545 0.545 0.828
H8 0.135 0.135 0.594
Pu1 0.500 0.500 0.500
Pm1 0.000 0.000 0.000

space-group type: R-3m, No. 166
crystal system: trigonal
electronic total energy: -5.298 eV per atom